Model P:
First-principles (PBE) data for a relaxed RbCuTe3 crystal, as listed in Alexandria.

The density of states at the Fermi level is 0.276 states/eV per atom. Its volume is 157.1 Å³/f.u.

It has space group R-3c (No. 167, hexagonal axes), with a = 8.5716 Å, b = 8.5716 Å, c = 14.8118 Å, α = 90.00°, β = 90.00° and γ = 120.00°. Symmetry generates all atoms from Rb at (0.0000, 0.0000, 0.2500), Cu at (0.0000, 0.0000, 0.0000) and Te at (0.0000, 0.4986, 0.2500).

***

Model Q:
First-principles (PBE) data for a relaxed RbCuTe3 crystal, as listed in Alexandria.

The density of states at the Fermi level is 0.008 states/eV per atom. Its volume is 172.8 Å³/f.u.

It has space group P1 (No. 1), with a = 6.528 Å, b = 6.668 Å, c = 8.545 Å, α = 86.37°, β = 78.67° and γ = 71.37°. Symmetry generates all atoms from Rb at (0.000, 0.000, 0.000), Rb at (0.213, 0.413, 0.607), Cu at (0.499, 0.569, 0.153), Cu at (0.712, 0.844, 0.455), Te at (0.035, 0.969, 0.492), Te at (0.177, 0.444, 0.115), Te at (0.437, 0.944, 0.263), Te at (0.600, 0.916, 0.761), Te at (0.612, 0.496, 0.847) and Te at (0.775, 0.469, 0.344).

***

Short version: model P is the least stable of them.

***

Model P:
First-principles (PBE) data for a relaxed RbTiCu3 crystal, as listed in Alexandria.

The density of states at the Fermi level is 2.375 states/eV per atom. Its volume is 124.5 Å³/f.u.

It has space group Pm-3m (No. 221), with a = 4.993 Å, b = 4.993 Å, c = 4.993 Å, α = 90.00°, β = 90.00° and γ = 90.00°. Symmetry generates all atoms from Rb at (0.000, 0.000, 0.000), Ti at (0.500, 0.500, 0.500) and Cu at (0.000, 0.000, 0.500).

***

Model Q:
First-principles (PBE) data for a relaxed RbTiCu3 crystal, as listed in Alexandria.

The density of states at the Fermi level is 0.758 states/eV per atom. Its volume is 125.5 Å³/f.u.

It has space group Pm-3m (No. 221), with a = 5.007 Å, b = 5.007 Å, c = 5.007 Å, α = 90.00°, β = 90.00° and γ = 90.00°. Symmetry generates all atoms from Rb at (0.000, 0.000, 0.000), Ti at (0.500, 0.500, 0.500) and Cu at (0.000, 0.500, 0.500).

***

Short version: model P is the least stable of them.

***

Model P:
First-principles (PBE) data for a relaxed Rb2Ti2Cu crystal, as listed in Alexandria.

The density of states at the Fermi level is 0.434 states/eV per atom. Its volume is 140.9 Å³/f.u.

It has space group P4/mbm (No. 127), with a = 6.568 Å, b = 6.568 Å, c = 6.534 Å, α = 90.00°, β = 90.00° and γ = 90.00°. Symmetry generates all atoms from Rb at (0.219, 0.281, 0.000), Ti at (0.123, 0.623, 0.500) and Cu at (0.000, 0.000, 0.500).

***

Model Q:
First-principles (PBE) data for a relaxed Rb2Ti2Cu crystal, as listed in Alexandria.

The density of states at the Fermi level is 1.548 states/eV per atom. Its volume is 151.4 Å³/f.u.

It has space group I4/mmm (No. 139), with a = 4.290 Å, b = 4.290 Å, c = 16.456 Å, α = 90.00°, β = 90.00° and γ = 90.00°. Symmetry generates all atoms from Rb at (0.000, 0.500, 0.250), Ti at (0.000, 0.000, 0.061) and Cu at (0.000, 0.000, 0.500).

***

Short version: model Q is the least stable of them.

***

Model P:
First-principles (PBE) data for a relaxed RbTi2Cu crystal, as listed in Alexandria.

The density of states at the Fermi level is 2.411 states/eV per atom. Its volume is 77.1 Å³/f.u.

It has space group Fm-3m (No. 225), with a = 6.756 Å, b = 6.756 Å, c = 6.756 Å, α = 90.00°, β = 90.00° and γ = 90.00°. Symmetry generates all atoms from Rb at (0.000, 0.000, 0.000), Ti at (0.250, 0.250, 0.250) and Cu at (0.000, 0.000, 0.500).

***

Model Q:
First-principles (PBE) data for a relaxed RbTi2Cu crystal, as listed in Alexandria.

The density of states at the Fermi level is 1.622 states/eV per atom. Its volume is 112.6 Å³/f.u.

It has space group I4_1/amd (No. 141, origin choice 2), with a = 4.803 Å, b = 4.803 Å, c = 19.529 Å, α = 90.00°, β = 90.00° and γ = 90.00°. Symmetry generates all atoms from Rb at (0.000, 0.250, 0.375), Ti at (0.000, 0.000, 0.000) and Cu at (0.000, 0.250, 0.875).

***

Short version: model P is the least stable of them.

***

Model P:
First-principles (PBE) data for a relaxed RbTiCu2 crystal, as listed in Alexandria.

The density of states at the Fermi level is 1.578 states/eV per atom. Its volume is 84.7 Å³/f.u.

It has space group Fm-3m (No. 225), with a = 6.970 Å, b = 6.970 Å, c = 6.970 Å, α = 90.00°, β = 90.00° and γ = 90.00°. Symmetry generates all atoms from Rb at (0.000, 0.000, 0.000), Ti at (0.000, 0.000, 0.500) and Cu at (0.250, 0.250, 0.250).

***

Model Q:
First-principles (PBE) data for a relaxed RbTiCu2 crystal, as listed in Alexandria.

The density of states at the Fermi level is 1.294 states/eV per atom. Its volume is 114.3 Å³/f.u.

It has space group I4_1/amd (No. 141, origin choice 2), with a = 5.145 Å, b = 5.145 Å, c = 17.277 Å, α = 90.00°, β = 90.00° and γ = 90.00°. Symmetry generates all atoms from Rb at (0.000, 0.250, 0.375), Ti at (0.000, 0.250, 0.875) and Cu at (0.000, 0.000, 0.000).

***

Short version: model P is the least stable of them.

***

Model P:
First-principles (PBE) data for a relaxed RbTl2Cu2 crystal, as listed in Alexandria.

The density of states at the Fermi level is 0.429 states/eV per atom. Its volume is 130.8 Å³/f.u.

It has space group P4/mbm (No. 127), with a = 8.442 Å, b = 8.442 Å, c = 3.670 Å, α = 90.00°, β = 90.00° and γ = 90.00°. Symmetry generates all atoms from Rb at (0.000, 0.000, 0.000), Tl at (0.160, 0.340, 0.500) and Cu at (0.105, 0.605, 0.000).

***

Model Q:
First-principles (PBE) data for a relaxed RbTl2Cu2 crystal, as listed in Alexandria.

The density of states at the Fermi level is 0.454 states/eV per atom. Its volume is 133.6 Å³/f.u.

It has space group I4/mmm (No. 139), with a = 4.985 Å, b = 4.985 Å, c = 10.753 Å, α = 90.00°, β = 90.00° and γ = 90.00°. Symmetry generates all atoms from Rb at (0.000, 0.000, 0.000), Tl at (0.000, 0.500, 0.250) and Cu at (0.000, 0.000, 0.385).

***

Model R:
First-principles (PBE) data for a relaxed RbTl2Cu2 crystal, as listed in Alexandria.

The density of states at the Fermi level is 0.374 states/eV per atom. Its volume is 138.7 Å³/f.u.

It has space group I4/mmm (No. 139), with a = 4.978 Å, b = 4.978 Å, c = 11.200 Å, α = 90.00°, β = 90.00° and γ = 90.00°. Symmetry generates all atoms from Rb at (0.000, 0.000, 0.000), Tl at (0.000, 0.000, 0.348) and Cu at (0.000, 0.500, 0.250).

***

Short version: model P is the least stable of them.